HfTl2FeF | PBE with a Hubbard U | relaxed

abc: 5.257 5.257 3.890
angles: 90.00 90.00 90.00
Fractional positions:
Hf1 0.000 0.000 0.000
Tl1 0.000 0.500 0.500
Tl2 0.500 0.000 0.500
Fe1 0.500 0.500 0.000
F1 0.500 0.500 0.500

Output
Symmetry: P4/mmm, No. 123
Electronic total energy in eV for the cell shown: -22.7